Below is crystalline Pu2PtRh at its relaxed geometry, with properties calculated at the PBE level.

formation energy from the elements = -222 kJ/mol of formula units
raw total energy = -11.09 eV/atom

a = 3.705 Å, b = 3.705 Å, c = 5.985 Å
α = 90.00°, β = 90.00°, γ = 90.00°
Last column: magnetic moment on the atom in μB.
Atoms (fractional coordinates):
Rh (0.500, 0.500, 0.000)  -0.26
Pu (0.000, 0.000, 0.754)  5.30
Pu (0.000, 0.000, 0.246)  5.30
Pt (0.500, 0.500, 0.500)  -0.04